RbPmI4 | PBE-GGA | optimized geometry

The structure in POSCAR format:
```
RbPmI4
1.0
5.4892 -9.1995 0.0000
5.4892 9.1995 0.0000
-2.5428 0.0000 7.6412
Rb Pm I
2 2 8
direct
0.2321 0.7679 0.7500 Rb
0.7679 0.2321 0.2500 Rb
0.0671 0.9329 0.2500 Pm
0.9329 0.0671 0.7500 Pm
0.0038 0.3669 0.7022 I
0.1067 0.2224 0.1478 I
0.2224 0.1067 0.6478 I
0.3669 0.0038 0.2022 I
0.6331 0.9962 0.7978 I
0.7776 0.8933 0.3522 I
0.8933 0.7776 0.8522 I
0.9962 0.6331 0.2978 I
```

Formation energy without anion corrections   -33.26 kcal/mol of atoms
Theoretical density   3.18 g/cm³
Volume   64.311 Å³/atom
Spin magnetization   0.000 μB/cell